Record 1
Computed, not measured: a relaxed NpGaCoOs crystal at the PBE level of DFT.

Cell and atoms, written as CIF:
```
data_NpGaCoOs
_cell_length_a 4.508
_cell_length_b 4.508
_cell_length_c 4.508
_cell_angle_alpha 60.00
_cell_angle_beta 60.00
_cell_angle_gamma 60.00
_space_group_name_H-M_alt 'P 1'
_space_group_IT_number 1
_space_group_name_Hall 'P 1'
loop_
_atom_site_label
_atom_site_fract_x
_atom_site_fract_y
_atom_site_fract_z
_atom_site_occupancy
Np1 0.750 0.750 0.750 1
Os1 0.000 0.000 0.000 1
Ga1 0.250 0.250 0.250 1
Co1 0.500 0.500 0.500 1
```

Properties
E_tot ... -0.315 Ha/atom
Formation enthalpy at 0 K ... 0.006 eV/atom

Record 2
Computed, not measured: a relaxed Np2GaCo3P4 crystal at the PBE level of DFT.

Cell and atoms, written as CIF:
```
data_Np2GaCo3P4
_cell_length_a 3.988
_cell_length_b 3.988
_cell_length_c 9.195
_cell_angle_alpha 90.00
_cell_angle_beta 90.00
_cell_angle_gamma 90.00
_space_group_name_H-M_alt 'P 1'
_space_group_IT_number 1
_space_group_name_Hall 'P 1'
loop_
_atom_site_label
_atom_site_fract_x
_atom_site_fract_y
_atom_site_fract_z
_atom_site_occupancy
P1 0.000 0.500 0.348 1
P2 0.500 0.000 0.652 1
P3 0.500 0.500 0.000 1
P4 0.000 0.000 0.000 1
Np1 0.000 0.500 0.761 1
Np2 0.500 0.000 0.239 1
Co1 0.000 0.500 0.107 1
Co2 0.000 0.000 0.500 1
Co3 0.500 0.000 0.893 1
Ga1 0.500 0.500 0.500 1
```

Properties
E_tot ... -0.286 Ha/atom
Formation enthalpy at 0 K ... -0.588 eV/atom

Record 3
Computed, not measured: a relaxed PuNpGaCo crystal at the PBE level of DFT.

Cell and atoms, written as CIF:
```
data_PuNpGaCo
_cell_length_a 4.673
_cell_length_b 4.673
_cell_length_c 4.673
_cell_angle_alpha 60.00
_cell_angle_beta 60.00
_cell_angle_gamma 60.00
_space_group_name_H-M_alt 'P 1'
_space_group_IT_number 1
_space_group_name_Hall 'P 1'
loop_
_atom_site_label
_atom_site_fract_x
_atom_site_fract_y
_atom_site_fract_z
_atom_site_occupancy
Ga1 0.000 0.000 0.000 1
Pu1 0.750 0.750 0.750 1
Co1 0.250 0.250 0.250 1
Np1 0.500 0.500 0.500 1
```

Properties
E_tot ... -0.344 Ha/atom
Formation enthalpy at 0 K ... -0.004 eV/atom